# 1
Density functional theory data (PBE) for a relaxed structure of NdAsPd.

Computed properties:
**E_tot**: -5.617 eV/atom
**Crystal system**: tetragonal
**Total magnetization**: 0.00 Bohr magnetons per cell

Cell: 4.047 4.047 8.440 Å, 90.00 90.00 90.00°
Atoms (fractional coordinates):
Nd: 0.000 0.000 0.000
Nd: 0.500 0.500 0.500
As: 0.000 0.000 0.654
As: 0.500 0.500 0.154
Pd: 0.000 0.000 0.353
Pd: 0.500 0.500 0.853



# 2
Density functional theory data (PBE) for a relaxed structure of Ba2PuWN5.

Computed properties:
**ΔE_f (raw)**: -662.7 kJ/mol of formula units
**E_tot**: -8.847 eV/atom
**Crystal system**: orthorhombic
**Total magnetization**: 6.00 Bohr magnetons per cell

Cell: 7.861 7.861 11.903 Å, 90.00 90.00 153.40°
Atoms (fractional coordinates):
Ba: 0.106 0.894 0.500
Ba: 0.145 0.855 0.157
Ba: 0.855 0.145 0.657
Ba: 0.894 0.106 0.000
Pu: 0.204 0.796 0.866
Pu: 0.796 0.204 0.366
W: 0.451 0.549 0.266
W: 0.549 0.451 0.766
N: 0.039 0.961 0.836
N: 0.287 0.713 0.471
N: 0.331 0.669 0.232
N: 0.332 0.668 0.837
N: 0.496 0.504 0.632
N: 0.504 0.496 0.132
N: 0.668 0.332 0.337
N: 0.669 0.331 0.732
N: 0.713 0.287 0.971
N: 0.961 0.039 0.336



# 3
Density functional theory data (PBE) for a relaxed structure of Cu3CN.

Computed properties:
**ΔE_f (raw)**: 621.5 kJ/mol of formula units
**E_tot**: -4.679 eV/atom
**Crystal system**: cubic
**Relative energy among the computed polymorphs**: 0.00 eV/f.u.
**Total magnetization**: 0.00 Bohr magnetons per cell

Cell: 3.799 3.799 3.799 Å, 90.00 90.00 90.00°
Atoms (fractional coordinates):
Cu: 0.000 0.000 0.500
Cu: 0.000 0.500 0.000
Cu: 0.500 0.000 0.000
C: 0.000 0.000 0.000
N: 0.500 0.500 0.500



# 4
Density functional theory data (PBE) for a relaxed structure of Na10B17C3.

Computed properties:
**E_tot**: -4.918 eV/atom
**Crystal system**: triclinic
**Relative energy among the computed polymorphs**: 0.69 eV/f.u.
**Total magnetization**: 0.00 Bohr magnetons per cell

Cell: 5.076 7.844 9.161 Å, 107.89 90.19 108.20°
Atoms (fractional coordinates):
Na: 0.000 0.000 0.000
Na: 0.096 0.199 0.496
Na: 0.194 0.399 0.997
Na: 0.298 0.599 0.497
Na: 0.398 0.800 0.999
Na: 0.497 0.998 0.496
Na: 0.599 0.199 0.999
Na: 0.695 0.398 0.497
Na: 0.793 0.597 0.996
Na: 0.897 0.798 0.498
B: 0.040 0.717 0.747
B: 0.065 0.496 0.748
B: 0.109 0.898 0.248
B: 0.179 0.686 0.248
B: 0.219 0.080 0.748
B: 0.324 0.304 0.247
B: 0.372 0.093 0.247
B: 0.415 0.507 0.748
B: 0.464 0.300 0.749
B: 0.596 0.510 0.248
B: 0.611 0.898 0.747
B: 0.685 0.695 0.747
B: 0.725 0.104 0.247
B: 0.753 0.880 0.248
B: 0.807 0.293 0.748
B: 0.886 0.102 0.748
B: 0.979 0.313 0.248
C: 0.290 0.898 0.747
C: 0.507 0.695 0.248
C: 0.915 0.504 0.248



# 5
Density functional theory data (PBE) for a relaxed structure of GaPbAu5.

Computed properties:
**E_tot**: -3.322 eV/atom
**Crystal system**: tetragonal
**Total magnetization**: 0.00 Bohr magnetons per cell

Cell: 4.007 4.007 9.163 Å, 90.00 90.00 90.00°
Atoms (fractional coordinates):
Ga: 0.000 0.000 0.000
Pb: 0.500 0.500 0.500
Au: 0.000 0.500 0.241
Au: 0.000 0.500 0.759
Au: 0.500 0.000 0.241
Au: 0.500 0.000 0.759
Au: 0.500 0.500 0.000



# 6
Density functional theory data (PBE) for a relaxed structure of HAu.

Computed properties:
**E_tot**: -3.031 eV/atom
**Crystal system**: tetragonal
**Total magnetization**: 0.00 Bohr magnetons per cell

Cell: 7.737 7.737 3.373 Å, 90.00 90.00 90.00°
Atoms (fractional coordinates):
H: 0.092 0.812 0.000
H: 0.188 0.092 0.000
H: 0.312 0.408 0.500
H: 0.408 0.688 0.500
H: 0.592 0.312 0.500
H: 0.688 0.592 0.500
H: 0.812 0.908 0.000
H: 0.908 0.188 0.000
Au: 0.105 0.309 0.000
Au: 0.191 0.605 0.500
Au: 0.309 0.895 0.000
Au: 0.395 0.191 0.500
Au: 0.605 0.809 0.500
Au: 0.691 0.105 0.000
Au: 0.809 0.395 0.500
Au: 0.895 0.691 0.000



# 7
Density functional theory data (PBE) for a relaxed structure of KMo4C2.

Computed properties:
**E_tot**: -6.705 eV/atom
**Crystal system**: tetragonal
**Total magnetization**: 0.00 Bohr magnetons per cell

Cell: 4.609 4.609 10.406 Å, 90.00 90.00 90.00°
Atoms (fractional coordinates):
K: 0.000 0.000 0.000
K: 0.500 0.500 0.500
Mo: 0.000 0.000 0.255
Mo: 0.000 0.000 0.745
Mo: 0.000 0.500 0.000
Mo: 0.000 0.500 0.500
Mo: 0.500 0.000 0.000
Mo: 0.500 0.000 0.500
Mo: 0.500 0.500 0.245
Mo: 0.500 0.500 0.755
C: 0.000 0.000 0.434
C: 0.000 0.000 0.566
C: 0.500 0.500 0.066
C: 0.500 0.500 0.934



# 8
Density functional theory data (PBE) for a relaxed structure of Cs2K3Na9.

Computed properties:
**E_tot**: -1.174 eV/atom
**Crystal system**: orthorhombic
**Total magnetization**: 0.00 Bohr magnetons per cell

Cell: 11.853 11.853 12.417 Å, 90.00 90.00 61.49°
Atoms (fractional coordinates):
Cs: 0.025 0.679 0.750
Cs: 0.321 0.975 0.750
Cs: 0.679 0.025 0.250
Cs: 0.975 0.321 0.250
K: 0.000 0.000 0.000
K: 0.000 0.000 0.500
K: 0.299 0.299 0.000
K: 0.299 0.299 0.500
K: 0.701 0.701 0.000
K: 0.701 0.701 0.500
Na: 0.043 0.646 0.107
Na: 0.043 0.646 0.393
Na: 0.198 0.802 0.250
Na: 0.354 0.646 0.516
Na: 0.354 0.646 0.984
Na: 0.354 0.957 0.107
Na: 0.354 0.957 0.393
Na: 0.375 0.456 0.250
Na: 0.456 0.375 0.750
Na: 0.544 0.625 0.250
Na: 0.625 0.544 0.750
Na: 0.646 0.043 0.607
Na: 0.646 0.043 0.893
Na: 0.646 0.354 0.016
Na: 0.646 0.354 0.484
Na: 0.802 0.198 0.750
Na: 0.957 0.354 0.607
Na: 0.957 0.354 0.893



# 9
Density functional theory data (PBE) for a relaxed structure of CoHgSe.

Computed properties:
**ΔE_f (raw)**: 33.1 kJ/mol of formula units
**E_tot**: -3.516 eV/atom
**Crystal system**: tetragonal
**Relative energy among the computed polymorphs**: 0.86 eV/f.u.
**Total magnetization**: 0.00 Bohr magnetons per cell

Cell: 2.990 2.990 13.398 Å, 90.00 90.00 90.00°
Atoms (fractional coordinates):
Co: 0.000 0.000 0.000
Co: 0.500 0.500 0.500
Hg: 0.000 0.000 0.327
Hg: 0.500 0.500 0.827
Se: 0.000 0.000 0.579
Se: 0.500 0.500 0.079



# 10
Density functional theory data (PBE) for a relaxed structure of PmZnH8Ru2.

Computed properties:
**E_tot**: -4.203 eV/atom
**Crystal system**: trigonal
**Total magnetization**: 0.00 Bohr magnetons per cell

Cell: 4.626 4.626 6.639 Å, 90.00 90.00 120.00°
Atoms (fractional coordinates):
Pm: 0.000 0.000 0.000
Zn: 0.000 0.000 0.500
H: 0.140 0.281 0.284
H: 0.140 0.860 0.284
H: 0.281 0.140 0.716
H: 0.333 0.667 0.096
H: 0.667 0.333 0.904
H: 0.719 0.860 0.284
H: 0.860 0.140 0.716
H: 0.860 0.719 0.716
Ru: 0.333 0.667 0.344
Ru: 0.667 0.333 0.656



# 11
Density functional theory data (PBE) for a relaxed structure of KBa.

Computed properties:
**E_tot**: -1.389 eV/atom
**Crystal system**: orthorhombic
**Total magnetization**: 0.00 Bohr magnetons per cell

Cell: 4.888 7.536 14.790 Å, 90.00 90.00 90.00°
Atoms (fractional coordinates):
K: 0.000 0.250 0.136
K: 0.000 0.750 0.864
K: 0.500 0.250 0.364
K: 0.500 0.750 0.636
Ba: 0.000 0.250 0.617
Ba: 0.000 0.750 0.383
Ba: 0.500 0.250 0.883
Ba: 0.500 0.750 0.117



# 12
Density functional theory data (PBE) for a relaxed structure of NbAs2RhCl.

Computed properties:
**ΔE_f (raw)**: 307.7 kJ/mol of formula units
**E_tot**: -5.076 eV/atom
**Crystal system**: tetragonal
**Total magnetization**: 0.00 Bohr magnetons per cell

Cell: 5.002 5.002 4.863 Å, 90.00 90.00 90.00°
Atoms (fractional coordinates):
Nb: 0.000 0.000 0.000
As: 0.000 0.500 0.000
As: 0.500 0.000 0.000
Rh: 0.000 0.000 0.500
Cl: 0.500 0.500 0.500



Question: What is the E_tot in the second record?
Answer: -8.847 eV/atom



Question: The highest E_tot belongs to which entry?
Answer: Cs2K3Na9



Question: Which value of E_tot does entry 4 give?
Answer: -4.918 eV/atom